Density functional theory data (PBE+U) for a relaxed ScNiPbO2 crystal.

Calculated values
SG: P4/mmm, No. 123
Uncorrected energy in eV per atom: -4.677

```
ScNiPbO2
1.0
4.076 0.000 0.000
0.000 4.076 0.000
0.000 0.000 4.568
Sc Ni Pb O
1 1 1 2
Cartesian
0.000 0.000 0.000 Sc
0.000 0.000 2.284 Ni
2.038 2.038 0.000 Pb
0.000 2.038 2.284 O
2.038 0.000 2.284 O
```